# 1
Compound: DyTm5In4
Source: Alexandria via LeMat-Bulk
Functional: PBE
Structure: relaxed Values from VASP.

Properties
M_tot: 0.001 μB per atom
Symmetry: No. 123
Calculated formation energy: -3.5 eV/f.u.

The structure in Quantum ESPRESSO input format:
```
&SYSTEM
  ibrav = 0, nat = 10, ntyp = 3
/
ATOMIC_SPECIES
Dy 162.50 Dy.upf
Tm 168.93 Tm.upf
In 114.82 In.upf
CELL_PARAMETERS angstrom
3.530 0.000 0.000
0.000 3.530 0.000
0.000 0.000 21.478
ATOMIC_POSITIONS crystal
Dy 0.000 0.000 0.000
Tm 0.500 0.500 0.114
Tm 0.500 0.500 0.307
Tm 0.500 0.500 0.500
Tm 0.500 0.500 0.693
Tm 0.500 0.500 0.886
In 0.000 0.000 0.210
In 0.000 0.000 0.403
In 0.000 0.000 0.597
In 0.000 0.000 0.790
```

# 2
Compound: Dy4Tm4In
Source: Alexandria via LeMat-Bulk
Functional: PBE
Structure: relaxed Values from VASP.

Properties
M_tot: 0.000 μB per atom
Symmetry: No. 139
Calculated formation energy: -0.6 eV/f.u.

The structure in Quantum ESPRESSO input format:
```
&SYSTEM
  ibrav = 0, nat = 9, ntyp = 3
/
ATOMIC_SPECIES
Dy 162.50 Dy.upf
Tm 168.93 Tm.upf
In 114.82 In.upf
CELL_PARAMETERS angstrom
-5.246 5.246 2.430
5.246 -5.246 2.430
5.246 5.246 -2.430
ATOMIC_POSITIONS crystal
Dy 0.162 0.162 0.324
Dy 0.162 0.838 0.000
Dy 0.838 0.162 0.000
Dy 0.838 0.838 0.676
Tm 0.165 0.500 0.665
Tm 0.500 0.165 0.665
Tm 0.500 0.835 0.335
Tm 0.835 0.500 0.335
In 0.500 0.500 0.000
```

# 3
Compound: DyTm4In
Source: Alexandria via LeMat-Bulk
Functional: PBE
Structure: relaxed Values from VASP.

Properties
M_tot: 0.000 μB per atom
Symmetry: No. 123
Calculated formation energy: -0.9 eV/f.u.

The structure in Quantum ESPRESSO input format:
```
&SYSTEM
  ibrav = 0, nat = 6, ntyp = 3
/
ATOMIC_SPECIES
Dy 162.50 Dy.upf
Tm 168.93 Tm.upf
In 114.82 In.upf
CELL_PARAMETERS angstrom
3.522 0.000 0.000
0.000 3.522 0.000
0.000 0.000 14.050
ATOMIC_POSITIONS crystal
Dy 0.000 0.000 0.000
Tm 0.000 0.000 0.351
Tm 0.000 0.000 0.649
Tm 0.500 0.500 0.177
Tm 0.500 0.500 0.823
In 0.500 0.500 0.500
```